Ta2BeSi | Alexandria via LeMat-Bulk | GGA-PBEsol | relaxed; raw formation energy = -0.13 eV/atom; energy above the lowest structure with this stoichiometry = 435 meV/atom; space group = Imm2
1.0
-1.821 1.870 4.239
1.821 -1.870 4.239
1.821 1.870 -4.239
Ta Be Si
2 1 1
Cartesian
0.000 0.000 0.000
0.000 1.870 2.085
1.821 0.000 2.152
0.000 0.000 4.151

ZrBeTc | Alexandria via LeMat-Bulk | GGA-PBEsol | relaxed; E_form = 110 meV per atom; space group = Fmm2
1.0
0.000 2.231 5.611
1.740 0.000 5.611
1.740 2.231 0.000
Zr Be Tc
1 1 1
Cartesian
0.000 0.000 0.000
1.740 2.231 7.602
1.740 2.231 3.465

W2C | Alexandria via LeMat-Bulk | GGA-PBEsol | relaxed; E_form = -74 meV per atom; space group = Pnnm
1.0
4.679 0.000 0.000
0.000 5.246 0.000
0.000 0.000 3.012
W C
4 2
Cartesian
1.128 0.831 0.000
1.212 3.455 1.506
3.468 1.792 1.506
3.551 4.415 0.000
0.000 2.623 0.000
2.340 0.000 1.506

RbBi3As | Alexandria via LeMat-Bulk | GGA-PBEsol | relaxed; E_form = 1667 meV per atom; space group = Pm-3m
1.0
5.870 0.000 0.000
0.000 5.870 0.000
0.000 0.000 5.870
Rb Bi As
1 3 1
Cartesian
0.000 0.000 0.000
0.000 0.000 2.935
0.000 2.935 0.000
2.935 0.000 0.000
2.935 2.935 2.935

LiTc2Pb | Alexandria via LeMat-Bulk | GGA-PBEsol | relaxed; E_form = 209 meV per atom; space group = P4mm
1.0
3.071 0.000 0.000
0.000 3.071 0.000
0.000 0.000 6.653
Li Tc Pb
1 2 1
Cartesian
0.000 0.000 0.000
0.000 0.000 3.826
1.536 1.536 5.203
1.536 1.536 1.759

Ta2TeRh | Alexandria via LeMat-Bulk | GGA-PBEsol | relaxed; raw formation energy = -0.02 eV/atom; space group = Pmmm
1.0
3.480 0.000 0.000
0.000 4.441 0.000
0.000 0.000 4.452
Ta Te Rh
2 1 1
Cartesian
0.000 0.000 0.000
1.740 0.000 2.226
0.000 2.221 2.226
1.740 2.221 0.000

LaCuTeN2 | Alexandria via LeMat-Bulk | GGA-PBEsol | relaxed; raw formation energy = 0.60 eV/atom; space group = P4/mmm
1.0
4.241 0.000 0.000
0.000 4.241 0.000
0.000 0.000 4.756
La Cu Te N
1 1 1 2
Cartesian
0.000 0.000 0.000
2.120 2.120 2.378
2.120 2.120 0.000
0.000 2.120 2.378
2.120 0.000 2.378

TcSbRu2 | Alexandria via LeMat-Bulk | GGA-PBEsol | relaxed; raw formation energy = 0.29 eV/atom; space group = P4mm
1.0
2.918 0.000 0.000
0.000 2.918 0.000
0.000 0.000 7.093
Tc Sb Ru
1 1 2
Cartesian
0.000 0.000 0.000
1.459 1.459 5.157
0.000 0.000 3.439
1.459 1.459 1.611

POs2Se | Alexandria via LeMat-Bulk | GGA-PBEsol | relaxed; raw formation energy = 0.82 eV/atom; energy above the lowest structure with this stoichiometry = 543 meV/atom; space group = Pmmm
1.0
2.864 0.000 0.000
0.000 4.083 0.000
0.000 0.000 5.033
P Os Se
1 2 1
Cartesian
0.000 0.000 0.000
0.000 2.041 2.517
1.432 2.041 0.000
1.432 0.000 2.517

BeAl2Os | Alexandria via LeMat-Bulk | GGA-PBEsol | relaxed; E_form = 160 meV per atom; space group = Cmm2
1.0
1.486 -2.281 0.000
1.486 2.281 0.000
0.000 0.000 8.062
Be Al Os
1 2 1
Cartesian
0.000 0.000 0.000
0.000 0.000 4.325
1.486 0.000 1.988
1.486 0.000 6.352

TiNbS2 | Alexandria via LeMat-Bulk | GGA-PBEsol | relaxed; raw formation energy = -0.75 eV/atom; energy above the lowest structure with this stoichiometry = 0 meV/atom; space group = R-3m
1.0
1.570 0.906 8.006
-1.570 0.906 8.006
0.000 -1.813 8.006
Ti Nb S
1 1 2
Cartesian
0.000 0.000 0.000
0.000 0.000 12.009
0.000 0.000 9.563
0.000 0.000 14.455

Na2Cd2Pb | Alexandria via LeMat-Bulk | GGA-PBEsol | relaxed; E_form = -38 meV per atom; space group = P4/mbm
1.0
7.946 0.000 0.000
0.000 7.946 0.000
0.000 0.000 4.112
Na Cd Pb
4 4 2
Cartesian
1.376 2.597 0.000
2.597 6.570 0.000
5.349 1.376 0.000
6.570 5.349 0.000
1.001 4.974 2.056
2.972 1.001 2.056
4.974 6.946 2.056
6.946 2.972 2.056
0.000 0.000 2.056
3.973 3.973 2.056